# 1
{
  "formula": "SrGa3Br",
  "functional": "PBE",
  "state": "relaxed",
  "raw_formation_energy_mev_per_atom": 74,
  "crystal_system": "cubic",
  "e_above_lowest_polymorph_mev_per_atom": 0,
  "lattice": [[5.514, 0.000, 0.000], [0.000, 5.514, 0.000], [0.000, 0.000, 5.514]],
  "species": ["Sr", "Ga", "Ga", "Ga", "Br"],
  "frac_coords": [[0.000, 0.000, 0.000], [0.000, 0.500, 0.500], [0.500, 0.000, 0.500], [0.500, 0.500, 0.000], [0.500, 0.500, 0.500]]
}



# 2
{
  "formula": "LiCoCuTe2",
  "functional": "PBE",
  "state": "relaxed",
  "raw_formation_energy_mev_per_atom": 349,
  "crystal_system": "tetragonal",
  "lattice": [[4.932, 0.000, 0.000], [0.000, 4.932, 0.000], [0.000, 0.000, 4.436]],
  "species": ["Li", "Co", "Cu", "Te", "Te"],
  "frac_coords": [[0.000, 0.000, 0.000], [0.000, 0.000, 0.500], [0.500, 0.500, 0.000], [0.000, 0.500, 0.500], [0.500, 0.000, 0.500]]
}



# 3
{
  "formula": "Tl2HgIrI",
  "functional": "PBE",
  "state": "relaxed",
  "raw_formation_energy_mev_per_atom": 1231,
  "crystal_system": "tetragonal",
  "lattice": [[6.537, 0.000, 0.000], [0.000, 6.537, 0.000], [0.000, 0.000, 6.531]],
  "species": ["Tl", "Tl", "Hg", "Ir", "I"],
  "frac_coords": [[0.000, 0.500, 0.000], [0.500, 0.000, 0.000], [0.000, 0.000, 0.500], [0.500, 0.500, 0.500], [0.000, 0.000, 0.000]]
}



# 4
{
  "formula": "LiCePdRh",
  "functional": "PBE",
  "state": "relaxed",
  "ef_mev_per_atom": -508,
  "crystal_system": "cubic",
  "lattice": [[6.630, 0.000, 0.000], [0.000, 6.630, 0.000], [0.000, 0.000, 6.630]],
  "species": ["Li", "Li", "Li", "Li", "Ce", "Ce", "Ce", "Ce", "Pd", "Pd", "Pd", "Pd", "Rh", "Rh", "Rh", "Rh"],
  "frac_coords": [[0.000, 0.000, 0.000], [0.000, 0.500, 0.500], [0.500, 0.000, 0.500], [0.500, 0.500, 0.000], [0.000, 0.000, 0.500], [0.000, 0.500, 0.000], [0.500, 0.000, 0.000], [0.500, 0.500, 0.500], [0.250, 0.250, 0.750], [0.250, 0.750, 0.250], [0.750, 0.250, 0.250], [0.750, 0.750, 0.750], [0.250, 0.250, 0.250], [0.250, 0.750, 0.750], [0.750, 0.250, 0.750], [0.750, 0.750, 0.250]]
}



# 5
{
  "formula": "SmMgGa2Ni5",
  "functional": "PBE",
  "state": "relaxed",
  "ef_mev_per_atom": -196,
  "crystal_system": "tetragonal",
  "lattice": [[3.914, 0.000, 0.000], [0.000, 3.914, 0.000], [0.000, 0.000, 8.970]],
  "species": ["Sm", "Mg", "Ga", "Ga", "Ni", "Ni", "Ni", "Ni", "Ni"],
  "frac_coords": [[0.000, 0.000, 0.000], [0.000, 0.000, 0.500], [0.500, 0.500, 0.363], [0.500, 0.500, 0.637], [0.000, 0.500, 0.220], [0.000, 0.500, 0.780], [0.500, 0.000, 0.220], [0.500, 0.000, 0.780], [0.500, 0.500, 0.000]]
}



# 6
{
  "formula": "Ac2TmTe2As2",
  "functional": "PBE",
  "state": "relaxed",
  "raw_formation_energy_mev_per_atom": -1256,
  "crystal_system": "tetragonal",
  "lattice": [[5.228, 0.000, 0.000], [0.000, 5.228, 0.000], [0.000, 0.000, 17.062]],
  "species": ["Ac", "Ac", "Ac", "Ac", "Tm", "Tm", "Te", "Te", "Te", "Te", "As", "As", "As", "As"],
  "frac_coords": [[0.000, 0.000, 0.125], [0.000, 0.000, 0.875], [0.500, 0.500, 0.375], [0.500, 0.500, 0.625], [0.000, 0.000, 0.500], [0.500, 0.500, 0.000], [0.000, 0.000, 0.319], [0.000, 0.000, 0.681], [0.500, 0.500, 0.181], [0.500, 0.500, 0.819], [0.000, 0.500, 0.000], [0.000, 0.500, 0.500], [0.500, 0.000, 0.000], [0.500, 0.000, 0.500]]
}



# 7
{
  "formula": "Rb2LaBr2O2",
  "functional": "PBE",
  "state": "relaxed",
  "raw_formation_energy_mev_per_atom": -1973,
  "crystal_system": "tetragonal",
  "lattice": [[4.671, 0.000, 0.000], [0.000, 4.671, 0.000], [0.000, 0.000, 18.417]],
  "species": ["Rb", "Rb", "Rb", "Rb", "La", "La", "Br", "Br", "Br", "Br", "O", "O", "O", "O"],
  "frac_coords": [[0.000, 0.000, 0.132], [0.000, 0.000, 0.868], [0.500, 0.500, 0.368], [0.500, 0.500, 0.632], [0.000, 0.000, 0.500], [0.500, 0.500, 0.000], [0.000, 0.000, 0.331], [0.000, 0.000, 0.669], [0.500, 0.500, 0.169], [0.500, 0.500, 0.831], [0.000, 0.500, 0.000], [0.000, 0.500, 0.500], [0.500, 0.000, 0.000], [0.500, 0.000, 0.500]]
}



# 8
{
  "formula": "KLa2Pb",
  "functional": "PBE",
  "state": "relaxed",
  "ef_mev_per_atom": 93,
  "crystal_system": "orthorhombic",
  "lattice": [[7.267, 0.000, 0.000], [0.000, 10.579, 0.000], [0.000, 0.000, 3.695]],
  "species": ["K", "K", "La", "La", "La", "La", "Pb", "Pb"],
  "frac_coords": [[0.000, 0.000, 0.000], [0.500, 0.500, 0.000], [0.250, 0.250, 0.500], [0.250, 0.750, 0.500], [0.750, 0.250, 0.500], [0.750, 0.750, 0.500], [0.000, 0.500, 0.000], [0.500, 0.000, 0.000]]
}



# 9
{
  "formula": "LiTbTiRu",
  "functional": "PBE",
  "state": "relaxed",
  "ef_mev_per_atom": -147,
  "crystal_system": "cubic",
  "lattice": [[6.594, 0.000, 0.000], [0.000, 6.594, 0.000], [0.000, 0.000, 6.594]],
  "species": ["Li", "Li", "Li", "Li", "Tb", "Tb", "Tb", "Tb", "Ti", "Ti", "Ti", "Ti", "Ru", "Ru", "Ru", "Ru"],
  "frac_coords": [[0.000, 0.000, 0.000], [0.000, 0.500, 0.500], [0.500, 0.000, 0.500], [0.500, 0.500, 0.000], [0.250, 0.250, 0.750], [0.250, 0.750, 0.250], [0.750, 0.250, 0.250], [0.750, 0.750, 0.750], [0.250, 0.250, 0.250], [0.250, 0.750, 0.750], [0.750, 0.250, 0.750], [0.750, 0.750, 0.250], [0.000, 0.000, 0.500], [0.000, 0.500, 0.000], [0.500, 0.000, 0.000], [0.500, 0.500, 0.500]]
}



# 10
{
  "formula": "Tb2HoSi2",
  "functional": "PBE",
  "state": "relaxed",
  "raw_formation_energy_mev_per_atom": -616,
  "crystal_system": "monoclinic",
  "e_above_lowest_polymorph_mev_per_atom": 97,
  "lattice": [[6.082, -2.150, 0.000], [6.082, 2.150, 0.000], [-4.662, 0.000, 9.298]],
  "species": ["Tb", "Tb", "Tb", "Tb", "Ho", "Ho", "Si", "Si", "Si", "Si"],
  "frac_coords": [[0.016, 0.016, 0.188], [0.180, 0.180, 0.588], [0.820, 0.820, 0.412], [0.984, 0.984, 0.812], [0.279, 0.279, 0.138], [0.721, 0.721, 0.862], [0.389, 0.389, 0.941], [0.480, 0.480, 0.604], [0.520, 0.520, 0.396], [0.611, 0.611, 0.059]]
}



# 11
{
  "formula": "Ce2ErGaC",
  "functional": "PBE",
  "state": "relaxed",
  "ef_mev_per_atom": -330,
  "crystal_system": "tetragonal",
  "lattice": [[4.887, 0.000, 0.000], [0.000, 4.887, 0.000], [0.000, 0.000, 4.854]],
  "species": ["Ce", "Ce", "Er", "Ga", "C"],
  "frac_coords": [[0.000, 0.500, 0.000], [0.500, 0.000, 0.000], [0.000, 0.000, 0.500], [0.500, 0.500, 0.500], [0.000, 0.000, 0.000]]
}



# 12
{
  "formula": "RbTl3Sb",
  "functional": "PBE",
  "state": "relaxed",
  "raw_formation_energy_mev_per_atom": -121,
  "crystal_system": "tetragonal",
  "e_above_lowest_polymorph_mev_per_atom": 10,
  "lattice": [[5.044, 0.000, 0.000], [0.000, 5.044, 0.000], [0.000, 0.000, 14.829]],
  "species": ["Rb", "Rb", "Tl", "Tl", "Tl", "Tl", "Tl", "Tl", "Sb", "Sb"],
  "frac_coords": [[0.000, 0.000, 0.000], [0.500, 0.500, 0.500], [0.000, 0.000, 0.376], [0.000, 0.500, 0.231], [0.000, 0.500, 0.731], [0.500, 0.000, 0.231], [0.500, 0.000, 0.731], [0.500, 0.500, 0.876], [0.000, 0.000, 0.598], [0.500, 0.500, 0.098]]
}



| no. | total energy (eV per formula unit) | density of states at the Fermi level (states/eV/cell) | M_tot (μB/cell) |
| --- | --- | --- | --- |
| 1 | -12.066 | 3.0 | 0.0 |
| 2 | -17.652 | 5.2 | 0.8 |
| 3 | -9.289 | 0.7 | 2.0 |
| 4 | -22.422 | 19.7 | 0.9 |
| 5 | -43.036 | 4.2 | 0.0 |
| 6 | -37.062 | 8.4 | 0.0 |
| 7 | -33.936 | 4.1 | 2.0 |
| 8 | -14.289 | 10.4 | 0.0 |
| 9 | -24.303 | 15.8 | 0.0 |
| 10 | -27.764 | 5.9 | 0.0 |
| 11 | -30.331 | 7.8 | 0.9 |
| 12 | -12.795 | 5.3 | 0.0 |